No. 1
NbSe2NCl after structural relaxation. Source: Alexandria via LeMat-Bulk, functional GGA-PBE.

extended XYZ file:
```
5
Lattice="4.7298 0.0000 0.0000 0.0000 4.1332 0.0000 0.0000 0.0000 4.7298" Properties=species:S:1:pos:R:3 pbc="T T T"
Se 2.3649 0.0000 0.0000
Cl 2.3649 2.0666 2.3649
Se 0.0000 0.0000 2.3649
Nb 0.0000 2.0666 0.0000
N 0.0000 0.0000 0.0000
```

Calculated values
Symmetry: No. 123
Crystal system: tetragonal
Energy relative to the elements, uncorrected: 3.2 eV/f.u.
DOS(E_F): 6.33 states/eV/f.u.

=====

No. 2
NbTeN2Cl after structural relaxation. Source: Alexandria via LeMat-Bulk, functional GGA-PBE.

extended XYZ file:
```
5
Lattice="4.0767 0.0000 0.0000 0.0000 4.0767 0.0000 0.0000 0.0000 4.9932" Properties=species:S:1:pos:R:3 pbc="T T T"
Te 0.0000 0.0000 2.4966
N 0.0000 2.0383 0.0000
Cl 0.0000 0.0000 0.0000
Nb 2.0383 2.0383 2.4966
N 2.0383 0.0000 0.0000
```

Calculated values
Symmetry: No. 123
Crystal system: tetragonal
Energy relative to the elements, uncorrected: 10.6 eV/f.u.
DOS(E_F): 3.18 states/eV/f.u.

=====

No. 3
NbTeN2Cl after structural relaxation. Source: Alexandria via LeMat-Bulk, functional GGA-PBE.

extended XYZ file:
```
5
Lattice="4.0385 0.0000 0.0000 0.0000 4.0385 0.0000 0.0000 0.0000 5.9642" Properties=species:S:1:pos:R:3 pbc="T T T"
Nb 0.0000 0.0000 0.0000
N 2.0192 0.0000 0.0000
Cl 2.0192 2.0192 2.9821
N 0.0000 2.0192 0.0000
Te 0.0000 0.0000 2.9821
```

Calculated values
Symmetry: No. 123
Crystal system: tetragonal
Energy relative to the elements, uncorrected: 1.8 eV/f.u.
DOS(E_F): 2.36 states/eV/f.u.

=====

No. 4
Nb2TlNCl after structural relaxation. Source: Alexandria via LeMat-Bulk, functional GGA-PBE.

extended XYZ file:
```
5
Lattice="-1.9114 -3.2269 -4.0038 0.7003 -3.3947 2.4016 -5.0610 0.4236 2.0746" Properties=species:S:1:pos:R:3 pbc="T T T"
Nb -2.5305 0.2118 1.0373
Tl 0.0000 0.0000 0.0000
Cl -3.1360 -3.0990 0.2362
N 0.3502 -1.6973 1.2008
Nb -0.9557 -1.6134 -2.0019
```

Calculated values
Symmetry: No. 123
Crystal system: tetragonal
Energy relative to the elements, uncorrected: 10.7 eV/f.u.
DOS(E_F): 8.97 states/eV/f.u.